Below is a geometry-optimized TbPrNdZr structure, with properties calculated at the PBE level.

a b c (Å): 5.595 5.595 5.595
angles (deg): 60.00 60.00 60.00
Fractional positions:
Tb (0.000, 0.000, 0.000)
Pr (0.500, 0.500, 0.500)
Nd (0.750, 0.750, 0.750)
Zr (0.250, 0.250, 0.250)

## Properties
Energy relative to the elements, eV per atom: 0.2543
N(E_F), states/eV/cell: 8.75
Raw total energy, eV/atom: -5.427
Total magnetic moment, μB/f.u.: 1.452
Space-group type: No. 216
Crystal system: cubic